# 1
# TiCuTc2H

An optimized crystal structure of TiCuTc2H (PBE, Alexandria via LeMat-Bulk).

```
TiCuTc2H
1.0
3.876 0.000 0.000
0.000 3.876 0.000
0.000 0.000 3.939
Ti Cu Tc H
1 1 2 1
Direct
0.000 0.000 0.000 Ti
0.500 0.500 0.000 Cu
0.000 0.500 0.500 Tc
0.500 0.000 0.500 Tc
0.000 0.000 0.500 H
```

Electronic total energy ... -7.30 eV per atom
Total moment ... 0.000 μB/f.u.
Energy above the most stable polymorph in this dataset ... 0.000 eV per atom


# 2
# Zr2PW

An optimized crystal structure of Zr2PW (PBE, Alexandria via LeMat-Bulk).

```
Zr2PW
1.0
-1.671 2.169 5.267
1.671 -2.169 5.267
1.671 2.169 -5.267
Zr P W
2 1 1
Direct
0.000 0.000 0.000 Zr
0.743 0.243 0.500 Zr
0.423 0.423 0.000 P
0.245 0.745 0.500 W
```

Electronic total energy ... -9.14 eV per atom
Total moment ... 0.000 μB/f.u.
Formation energy ... -1.109 eV per formula unit


# 3
# FeHgI2

An optimized crystal structure of FeHgI2 (PBE, Alexandria via LeMat-Bulk).

```
FeHgI2
1.0
0.000 3.826 3.826
3.826 0.000 3.826
3.826 3.826 0.000
Fe Hg I
1 1 2
Direct
0.000 0.000 0.000 Fe
0.500 0.500 0.500 Hg
0.250 0.250 0.250 I
0.750 0.750 0.750 I
```

Electronic total energy ... -2.43 eV per atom
Total moment ... 3.680 μB/f.u.
Raw formation energy ... 2.14 eV/f.u.
Energy above the most stable polymorph in this dataset ... 0.516 eV per atom


# 4
# B5C

An optimized crystal structure of B5C (PBE, Alexandria via LeMat-Bulk).

```
B5C
1.0
2.742 -3.613 0.000
2.742 3.613 0.000
-1.795 0.000 4.008
B C
10 2
Direct
0.107 0.107 0.212 B
0.163 0.516 0.818 B
0.251 0.513 0.291 B
0.484 0.837 0.182 B
0.487 0.749 0.709 B
0.513 0.251 0.291 B
0.516 0.163 0.818 B
0.749 0.487 0.709 B
0.837 0.484 0.182 B
0.893 0.893 0.788 B
0.136 0.136 0.678 C
0.864 0.864 0.322 C
```

Electronic total energy ... -6.65 eV per atom
Total moment ... 0.000 μB/f.u.
Formation energy ... 2.712 eV per formula unit
Energy above the most stable polymorph in this dataset ... 0.255 eV per atom


# 5
# Pr12NdSn3

An optimized crystal structure of Pr12NdSn3 (PBE, Alexandria via LeMat-Bulk).

```
Pr12NdSn3
1.0
5.023 0.000 0.000
0.000 5.023 0.000
0.000 0.000 20.503
Pr Nd Sn
12 1 3
Direct
0.000 0.000 0.000 Pr
0.000 0.000 0.242 Pr
0.000 0.000 0.500 Pr
0.000 0.000 0.758 Pr
0.000 0.500 0.121 Pr
0.000 0.500 0.365 Pr
0.000 0.500 0.635 Pr
0.000 0.500 0.879 Pr
0.500 0.000 0.121 Pr
0.500 0.000 0.365 Pr
0.500 0.000 0.635 Pr
0.500 0.000 0.879 Pr
0.500 0.500 0.500 Nd
0.500 0.500 0.000 Sn
0.500 0.500 0.244 Sn
0.500 0.500 0.756 Sn
```

Electronic total energy ... -4.96 eV per atom
Total moment ... 0.000 μB/f.u.
Formation energy ... -5.161 eV per formula unit


# 6
# Cr4CuTe

An optimized crystal structure of Cr4CuTe (PBE, Alexandria via LeMat-Bulk).

```
Cr4CuTe
1.0
0.000 3.443 3.443
3.443 0.000 3.443
3.443 3.443 0.000
Cr Cu Te
4 1 1
Direct
0.378 0.378 0.378 Cr
0.378 0.378 0.865 Cr
0.378 0.865 0.378 Cr
0.865 0.378 0.378 Cr
0.750 0.750 0.750 Cu
0.000 0.000 0.000 Te
```

Electronic total energy ... -7.09 eV per atom
Total moment ... 0.000 μB/f.u.
Raw formation energy ... 3.17 eV/f.u.